# BaNiMo2O8

An optimized crystal structure of BaNiMo2O8 (PBE+U, the Alexandria database).

The structure in CIF format:
```
data_BaNiMo2O8
_symmetry_space_group_name_H-M 'R -3'
_symmetry_Int_Tables_number 148
_symmetry_space_group_name_Hall '-R 3'
_cell_length_a 5.2585
_cell_length_b 5.2585
_cell_length_c 22.5593
_cell_angle_alpha 90.00
_cell_angle_beta 90.00
_cell_angle_gamma 120.00
loop_
_atom_site_label
_atom_site_type_symbol
_atom_site_fract_x
_atom_site_fract_y
_atom_site_fract_z
Ba1 Ba 0.0000 0.0000 0.0000
Ni1 Ni 0.0000 0.0000 0.5000
Mo1 Mo 0.0000 0.0000 0.2392
O1 O 0.0000 0.0000 0.3187
O2 O 0.0061 0.3473 0.1133
```

Summary:
Its crystal system is trigonal. The calculation puts the total energy at -79.8 eV/f.u.